The following is a DFT calculation (PBE-GGA) of a relaxed structure of DyBi2.

```
data_DyBi2
_chemical_formula_sum 'Dy4 Bi8'
_space_group_name_H-M_alt 'P n m a'
_space_group_IT_number 62
_cell_length_a 7.819
_cell_length_b 4.324
_cell_length_c 10.839
_cell_angle_alpha 90.00
_cell_angle_beta 90.00
_cell_angle_gamma 90.00
loop_
_space_group_symop_operation_xyz
'x,y,z'
'-x,-y,-z'
'-x+1/2,-y,z+1/2'
'x+1/2,y,-z+1/2'
'x+1/2,-y+1/2,-z+1/2'
'-x+1/2,y+1/2,z+1/2'
'-x,y+1/2,-z'
'x,-y+1/2,z'
loop_
_atom_site_label
_atom_site_type_symbol
_atom_site_fract_x
_atom_site_fract_y
_atom_site_fract_z
Dy1 Dy 0.219 0.250 0.150
Bi1 Bi 0.088 0.250 0.825
Bi2 Bi 0.134 0.250 0.446
```

energy of formation from the pure elements	-51.4	kJ per mole of atoms
DOS(E_F)	7.16	states/eV per cell
electronic total energy	-55.85	eV/cell